First-principles (PBE) data for crystalline InSn2Pb2 at its relaxed geometry, as listed in the Alexandria database.

Values from the calculation:
As for the calculated formation energy: 144 meV/atom. For the energy relative to the lowest polymorph listed for this composition, the calculation gives 0.104 eV/atom. Its space group is I4/mmm (139).

abc: 4.954 4.954 7.733
angles: 71.32 71.32 90.00
Element x y z (fractional)
In 0.000 0.000 0.000
Sn 0.606 0.606 0.789
Pb 0.750 0.250 0.500
Pb 0.250 0.750 0.500
Sn 0.394 0.394 0.211


First-principles (PBE) data for crystalline RbTlIn4Pb2 at its relaxed geometry, as listed in the Alexandria database.

Values from the calculation:
As for the calculated formation energy: 4 meV/atom. Its space group is R-3m (166).

abc: 5.492 5.492 10.782
angles: 75.24 75.24 60.00
Element x y z (fractional)
Rb 0.000 0.000 0.000
Pb 0.237 0.237 0.290
In 0.400 0.400 0.799
In 0.871 0.871 0.387
In 0.600 0.600 0.201
Tl 0.500 0.500 0.500
Pb 0.763 0.763 0.710
In 0.129 0.129 0.613


First-principles (PBE) data for crystalline TiP at its relaxed geometry, as listed in the Alexandria database.

Values from the calculation:
As for the calculated formation energy: -894 meV/atom. Its space group is I4/m (87).

abc: 8.003 8.003 4.820
angles: 90.00 90.00 90.00
Element x y z (fractional)
P 0.107 0.707 0.500
P 0.207 0.393 0.000
Ti 0.883 0.330 0.000
Ti 0.830 0.617 0.500
P 0.707 0.893 0.500
P 0.393 0.793 0.000
P 0.293 0.107 0.500
Ti 0.670 0.883 0.000
P 0.607 0.207 0.000
Ti 0.330 0.117 0.000
Ti 0.383 0.830 0.500
Ti 0.170 0.383 0.500
P 0.893 0.293 0.500
P 0.793 0.607 0.000
Ti 0.617 0.170 0.500
Ti 0.117 0.670 0.000


First-principles (PBE) data for crystalline FeAs2Pt at its relaxed geometry, as listed in the Alexandria database.

Values from the calculation:
As for the calculated formation energy: 44 meV/atom. For the energy relative to the lowest polymorph listed for this composition, the calculation gives 0.223 eV/atom. Its space group is I-42d (122).

abc: 5.436 5.436 6.628
angles: 65.79 65.79 90.00
Element x y z (fractional)
Fe 0.500 0.500 0.000
As 0.155 0.625 0.250
As 0.595 0.125 0.250
As 0.375 0.405 0.750
Pt 0.000 0.000 0.000
As 0.875 0.845 0.750
Fe 0.250 0.750 0.500
Pt 0.750 0.250 0.500


First-principles (PBE) data for crystalline Mn2CrSbCl at its relaxed geometry, as listed in the Alexandria database.

Values from the calculation:
The uncorrected formation energy is 1.219 eV/atom. Its space group is P4/mmm (123).

abc: 4.187 5.597 4.187
angles: 90.00 90.00 90.00
Site moments in Bohr magnetons follow the coordinates.
Element x y z (fractional)
Cr 0.500 0.500 0.500  0.02
Mn 0.500 0.000 0.000  3.32
Mn 0.000 0.000 0.500  3.07
Cl 0.000 0.000 0.000  0.02
Sb 0.000 0.500 0.000  0.05


First-principles (PBE) data for crystalline TaBeHgOs2 at its relaxed geometry, as listed in the Alexandria database.

Values from the calculation:
As for the calculated formation energy: 3130 meV/atom. Its space group is P4/mmm (123).

abc: 4.897 4.896 4.897
angles: 90.00 90.00 90.00
Element x y z (fractional)
Os 0.500 0.000 0.000
Hg 0.000 0.000 0.000
Ta 0.000 0.500 0.000
Be 0.500 0.500 0.500
Os 0.000 0.000 0.500


First-principles (PBE) data for crystalline Ti4GeAsH at its relaxed geometry, as listed in the Alexandria database.

Values from the calculation:
Its space group is Cmcm (63). The total energy comes out at -7.039 eV per atom.

abc: 5.247 5.247 7.635
angles: 90.00 110.10 90.00
Element x y z (fractional)
Ge 0.888 0.750 0.777
Ti 0.929 0.250 0.858
Ti 0.000 0.000 0.500
Ti 0.430 0.750 0.861
Ti 0.500 0.000 0.500
H 0.292 0.750 0.584
Ti 0.071 0.750 0.142
H 0.708 0.250 0.416
Ti 0.500 0.500 0.500
Ti 0.000 0.500 0.500
As 0.387 0.250 0.773
Ge 0.112 0.250 0.223
Ti 0.570 0.250 0.139
As 0.613 0.750 0.227


First-principles (PBE) data for crystalline Y6Fe2Ag at its relaxed geometry, as listed in the Alexandria database.

Values from the calculation:
As for the calculated formation energy: -87 meV/atom. Its space group is Immm (71).

abc: 8.387 8.387 8.387
angles: 107.39 109.67 111.38
Site moments in Bohr magnetons follow the coordinates.
Element x y z (fractional)
Y 0.295 0.609 0.313  -0.13
Fe 0.500 0.392 0.892  0.86
Y 0.789 0.220 0.009  -0.10
Ag 0.000 0.000 0.000  -0.01
Y 0.705 0.018 0.313  -0.13
Fe 0.388 0.000 0.388  1.22
Y 0.211 0.220 0.432  -0.10
Y 0.522 0.708 0.813  -0.13
Y 0.105 0.292 0.813  -0.13
Y 0.295 0.982 0.687  -0.13
Fe 0.500 0.608 0.108  0.86
Fe 0.612 0.000 0.612  1.22
Y 0.705 0.391 0.687  -0.13
Y 0.478 0.292 0.187  -0.13
Y 0.211 0.780 0.991  -0.10
Ag 0.000 0.500 0.500  -0.02
Y 0.789 0.780 0.568  -0.10
Y 0.895 0.708 0.187  -0.13


First-principles (PBE) data for crystalline La2ZnTe at its relaxed geometry, as listed in the Alexandria database.

Values from the calculation:
The uncorrected formation energy is -0.596 eV/atom. For the energy relative to the lowest polymorph listed for this composition, the calculation gives 0.285 eV/atom. Its space group is I-42d (122).

abc: 8.363 8.363 6.940
angles: 52.95 52.95 90.00
Element x y z (fractional)
Zn 0.500 0.500 0.000
Zn 0.250 0.750 0.500
La 0.610 0.125 0.250
Te 0.000 0.000 0.000
Te 0.750 0.250 0.500
La 0.875 0.860 0.750
La 0.140 0.625 0.250
La 0.375 0.390 0.750


First-principles (PBE) data for crystalline Er2PaNi at its relaxed geometry, as listed in the Alexandria database.

Values from the calculation:
As for the calculated formation energy: 194 meV/atom. For the energy relative to the lowest polymorph listed for this composition, the calculation gives 0.285 eV/atom. Its space group is R-3m (166).

abc: 3.295 3.295 10.523
angles: 80.99 80.99 60.00
Element x y z (fractional)
Er 0.105 0.105 0.686
Er 0.895 0.895 0.314
Ni 0.500 0.500 0.500
Pa 0.000 0.000 0.000


First-principles (PBE) data for crystalline Sr2BiPd at its relaxed geometry, as listed in the Alexandria database.

Values from the calculation:
As for the calculated formation energy: -449 meV/atom. Its space group is I-42d (122).

abc: 8.661 8.661 7.059
angles: 52.16 52.16 90.00
Element x y z (fractional)
Sr 0.584 0.125 0.250
Bi 0.750 0.250 0.500
Sr 0.166 0.625 0.250
Sr 0.375 0.416 0.750
Sr 0.875 0.834 0.750
Pd 0.500 0.500 0.000
Bi 0.000 0.000 0.000
Pd 0.250 0.750 0.500


First-principles (PBE) data for crystalline CoSi3 at its relaxed geometry, as listed in the Alexandria database.

Values from the calculation:
The uncorrected formation energy is 0.288 eV/atom. Its space group is P6_3/mmc (194).

abc: 5.157 5.157 4.418
angles: 90.00 90.00 120.00
Element x y z (fractional)
Co 0.333 0.667 0.250
Si 0.171 0.829 0.750
Co 0.667 0.333 0.750
Si 0.342 0.171 0.250
Si 0.658 0.829 0.750
Si 0.171 0.342 0.750
Si 0.829 0.658 0.250
Si 0.829 0.171 0.250


First-principles (PBE) data for crystalline Dy3Ho2Tl7 at its relaxed geometry, as listed in the Alexandria database.

Values from the calculation:
As for the calculated formation energy: -79 meV/atom. Its space group is Cmmm (65).

abc: 5.396 5.264 13.047
angles: 101.64 90.00 90.00
Element x y z (fractional)
Tl 0.500 0.082 0.164
Tl 0.000 0.576 0.152
Tl 0.000 0.424 0.848
Dy 0.500 0.347 0.695
Dy 0.500 0.500 0.000
Dy 0.500 0.653 0.305
Tl 0.000 0.000 0.000
Ho 0.000 0.152 0.305
Tl 0.000 0.279 0.559
Tl 0.500 0.918 0.836
Tl 0.000 0.721 0.441
Ho 0.000 0.848 0.695


First-principles (PBE) data for crystalline Ca3Mg2 at its relaxed geometry, as listed in the Alexandria database.

Values from the calculation:
As for the calculated formation energy: 61 meV/atom. For the energy relative to the lowest polymorph listed for this composition, the calculation gives 0.095 eV/atom. Its space group is R-3m (166).

abc: 14.041 14.041 14.041
angles: 15.65 15.65 15.65
Element x y z (fractional)
Ca 0.000 0.000 0.000
Ca 0.794 0.794 0.794
Ca 0.206 0.206 0.206
Mg 0.603 0.603 0.603
Mg 0.397 0.397 0.397


First-principles (PBE) data for crystalline MgCu2Te at its relaxed geometry, as listed in the Alexandria database.

Values from the calculation:
The uncorrected formation energy is 0.080 eV/atom. For the energy relative to the lowest polymorph listed for this composition, the calculation gives 0.132 eV/atom. Its space group is I-42d (122).

abc: 4.127 4.127 9.612
angles: 77.60 77.60 90.00
Element x y z (fractional)
Mg 0.500 0.500 0.000
Cu 0.167 0.625 0.250
Cu 0.375 0.417 0.750
Cu 0.875 0.833 0.750
Cu 0.583 0.125 0.250
Mg 0.250 0.750 0.500
Te 0.750 0.250 0.500
Te 0.000 0.000 0.000


First-principles (PBE) data for crystalline NaLi5N2 at its relaxed geometry, as listed in the Alexandria database.

Values from the calculation:
The uncorrected formation energy is -0.063 eV/atom. For the energy relative to the lowest polymorph listed for this composition, the calculation gives 0.170 eV/atom. Its space group is P4/mmm (123).

abc: 3.704 3.704 5.232
angles: 90.00 90.00 90.00
Element x y z (fractional)
Li 0.000 0.000 0.000
Li 0.000 0.500 0.243
Li 0.500 0.000 0.243
Na 0.500 0.500 0.500
Li 0.000 0.500 0.757
Li 0.500 0.000 0.757
N 0.500 0.500 0.000
N 0.000 0.000 0.500


First-principles (PBE) data for crystalline PmCd2Ge2 at its relaxed geometry, as listed in the Alexandria database.

Values from the calculation:
As for the calculated formation energy: -331 meV/atom. For the energy relative to the lowest polymorph listed for this composition, the calculation gives 0.000 eV/atom. Its space group is Cmcm (63).

abc: 4.269 4.246 12.395
angles: 90.00 99.92 90.00
Element x y z (fractional)
Ge 0.134 0.250 0.267
Pm 0.656 0.750 0.312
Ge 0.750 0.250 0.500
Cd 0.547 0.250 0.094
Cd 0.453 0.750 0.906
Ge 0.866 0.750 0.733
Cd 0.049 0.750 0.097
Cd 0.951 0.250 0.903
Pm 0.344 0.250 0.688
Ge 0.250 0.750 0.500


First-principles (PBE) data for crystalline BaYW2 at its relaxed geometry, as listed in the Alexandria database.

Values from the calculation:
As for the calculated formation energy: 753 meV/atom. For the energy relative to the lowest polymorph listed for this composition, the calculation gives 0.195 eV/atom. Its space group is Cm (8).

abc: 4.501 4.501 8.358
angles: 86.85 86.85 43.30
Element x y z (fractional)
Ba 0.262 0.262 0.195
Y 0.479 0.479 0.594
W 0.021 0.021 0.911
W 0.739 0.739 0.800


First-principles (PBE) data for crystalline PmCdNi2 at its relaxed geometry, as listed in the Alexandria database.

Values from the calculation:
As for the calculated formation energy: -211 meV/atom. For the energy relative to the lowest polymorph listed for this composition, the calculation gives 0.127 eV/atom. Its space group is R-3m (166).

abc: 4.441 4.441 5.170
angles: 64.56 64.56 60.00
Element x y z (fractional)
Pm 0.000 0.000 0.000
Ni 0.204 0.204 0.387
Ni 0.796 0.796 0.613
Cd 0.500 0.500 0.500


First-principles (PBE) data for crystalline KCrBPb2 at its relaxed geometry, as listed in the Alexandria database.

Values from the calculation:
As for the calculated formation energy: 2286 meV/atom. Its space group is P4/mmm (123).

abc: 5.964 5.347 5.964
angles: 90.00 90.00 90.00
Site moments in Bohr magnetons follow the coordinates.
Element x y z (fractional)
B 0.500 0.500 0.500  -0.02
K 0.000 0.000 0.000  0.06
Pb 0.000 0.000 0.500  -0.02
Pb 0.500 0.000 0.000  -0.09
Cr 0.000 0.500 0.000  4.29


First-principles (PBE) data for crystalline DyYTcAg at its relaxed geometry, as listed in the Alexandria database.

Values from the calculation:
As for the calculated formation energy: -114 meV/atom. Its space group is F-43m (216).

abc: 4.977 4.977 4.977
angles: 60.00 60.00 60.00
Element x y z (fractional)
Ag 0.500 0.500 0.500
Dy 0.250 0.250 0.250
Y 0.750 0.750 0.750
Tc 0.000 0.000 0.000


First-principles (PBE) data for crystalline TmPaHgPt at its relaxed geometry, as listed in the Alexandria database.

Values from the calculation:
As for the calculated formation energy: -472 meV/atom. Its space group is F-43m (216).

abc: 5.077 5.077 5.077
angles: 60.00 60.00 60.00
Site moments in Bohr magnetons follow the coordinates.
Element x y z (fractional)
Pa 0.500 0.500 0.500  0.32
Tm 0.000 0.000 0.000  0.05
Pt 0.750 0.750 0.750  -0.03
Hg 0.250 0.250 0.250  -0.01


First-principles (PBE) data for crystalline Fe2ReRu at its relaxed geometry, as listed in the Alexandria database.

Values from the calculation:
As for the calculated formation energy: 122 meV/atom. Its space group is Cm (8).

abc: 4.565 4.565 4.520
angles: 80.56 80.56 33.80
Site moments in Bohr magnetons follow the coordinates.
Element x y z (fractional)
Fe 0.253 0.253 0.241  1.84
Ru 0.747 0.747 0.756  -0.05
Re 0.501 0.501 0.497  -0.17
Fe 0.000 0.000 0.006  1.76


First-principles (PBE) data for crystalline Pu2AlTl at its relaxed geometry, as listed in the Alexandria database.

Values from the calculation:
As for the calculated formation energy: -60 meV/atom. Its space group is P4/mmm (123).

abc: 4.833 4.449 4.449
angles: 90.00 90.00 90.00
Site moments in Bohr magnetons follow the coordinates.
Element x y z (fractional)
Pu 0.000 0.500 0.000  5.46
Al 0.500 0.500 0.500  -0.05
Tl 0.500 0.000 0.000  -0.05
Pu 0.000 0.000 0.500  5.46


First-principles (PBE) data for crystalline HfRuAu3 at its relaxed geometry, as listed in the Alexandria database.

Values from the calculation:
As for the calculated formation energy: 1332 meV/atom. Its space group is Pm-3m (221).

abc: 5.111 5.111 5.111
angles: 90.00 90.00 90.00
Site moments in Bohr magnetons follow the coordinates.
Element x y z (fractional)
Au 0.500 0.000 0.000  0.01
Hf 0.000 0.000 0.000  -0.02
Ru 0.500 0.500 0.500  2.62
Au 0.000 0.500 0.000  0.01
Au 0.000 0.000 0.500  0.04